Record 1
Density functional theory data (PBE) for a relaxed Tl9Sb2Pb crystal.

The structure in CIF format:
```
data_Tl9Sb2Pb
_cell_length_a 4.9556
_cell_length_b 4.9556
_cell_length_c 15.0374
_cell_angle_alpha 90.00
_cell_angle_beta 90.00
_cell_angle_gamma 90.00
_space_group_name_H-M_alt 'P 4/m m m'
_space_group_IT_number 123
_space_group_name_Hall '-P 4 2'
loop_
_atom_site_label
_atom_site_type_symbol
_atom_site_fract_x
_atom_site_fract_y
_atom_site_fract_z
Tl1 Tl 0.0000 0.0000 0.0000
Tl2 Tl 0.0000 0.0000 0.3369
Tl3 Tl 0.0000 0.5000 0.1717
Tl4 Tl 0.0000 0.5000 0.5000
Sb1 Sb 0.5000 0.5000 0.3318
Pb1 Pb 0.5000 0.5000 0.0000
```

Computed properties:
Raw formation energy   4 meV/atom
N(E_F)   0.47 states/eV/atom


Record 2
Density functional theory data (PBE) for a relaxed Tl2SbPb2 crystal.

The structure in CIF format:
```
data_Tl2SbPb2
_cell_length_a 8.1873
_cell_length_b 8.1873
_cell_length_c 4.9802
_cell_angle_alpha 90.00
_cell_angle_beta 90.00
_cell_angle_gamma 90.00
_space_group_name_H-M_alt 'P 4/m b m'
_space_group_IT_number 127
_space_group_name_Hall '-P 4 2ab'
loop_
_atom_site_label
_atom_site_type_symbol
_atom_site_fract_x
_atom_site_fract_y
_atom_site_fract_z
Tl1 Tl 0.1664 0.3336 0.0000
Sb1 Sb 0.0000 0.0000 0.5000
Pb1 Pb 0.1400 0.6400 0.5000
```

Computed properties:
Energy relative to the lowest polymorph listed for this composition   70 meV/atom
Raw formation energy   89 meV/atom
N(E_F)   0.43 states/eV/atom


Record 3
Density functional theory data (PBE) for a relaxed Tl12SbPb7 crystal.

The structure in CIF format:
```
data_Tl12SbPb7
_cell_length_a 18.3723
_cell_length_b 18.3723
_cell_length_c 6.8658
_cell_angle_alpha 90.00
_cell_angle_beta 90.00
_cell_angle_gamma 120.00
_space_group_name_H-M_alt 'R -3'
_space_group_IT_number 148
_space_group_name_Hall '-R 3'
loop_
_atom_site_label
_atom_site_type_symbol
_atom_site_fract_x
_atom_site_fract_y
_atom_site_fract_z
Tl1 Tl 0.0272 0.6115 0.1690
Tl2 Tl 0.0819 0.2264 0.8192
Sb1 Sb 0.0000 0.0000 0.5000
Pb1 Pb 0.0000 0.0000 0.0000
Pb2 Pb 0.0666 0.1778 0.3041
```

Computed properties:
Raw formation energy   82 meV/atom
N(E_F)   0.49 states/eV/atom


Record 4
Density functional theory data (PBE) for a relaxed Tl8SbPb5 crystal.

The structure in CIF format:
```
data_Tl8SbPb5
_cell_length_a 9.5119
_cell_length_b 9.5119
_cell_length_c 10.0724
_cell_angle_alpha 90.00
_cell_angle_beta 90.00
_cell_angle_gamma 90.00
_space_group_name_H-M_alt 'I -4'
_space_group_IT_number 82
loop_
_space_group_symop_operation_xyz
'x,y,z'
'y,-x,-z'
'-x,-y,z'
'-y,x,-z'
'x+1/2,y+1/2,z+1/2'
'y+1/2,-x+1/2,-z+1/2'
'-x+1/2,-y+1/2,z+1/2'
'-y+1/2,x+1/2,-z+1/2'
loop_
_atom_site_label
_atom_site_type_symbol
_atom_site_fract_x
_atom_site_fract_y
_atom_site_fract_z
Tl1 Tl 0.0601 0.3268 0.0833
Tl2 Tl 0.1041 0.1811 0.7547
Sb1 Sb 0.0000 0.0000 0.0000
Pb1 Pb 0.0000 0.5000 0.7500
Pb2 Pb 0.1035 0.1950 0.4193
```

Computed properties:
Raw formation energy   84 meV/atom
N(E_F)   0.46 states/eV/atom


Record 5
Density functional theory data (PBE) for a relaxed Tl4SbPb2 crystal.

The structure in CIF format:
```
data_Tl4SbPb2
_cell_length_a 5.9314
_cell_length_b 5.9314
_cell_length_c 15.9476
_cell_angle_alpha 90.00
_cell_angle_beta 90.00
_cell_angle_gamma 90.00
_space_group_name_H-M_alt 'I 4/m m m'
_space_group_IT_number 139
_space_group_name_Hall '-I 4 2'
loop_
_atom_site_label
_atom_site_type_symbol
_atom_site_fract_x
_atom_site_fract_y
_atom_site_fract_z
Tl1 Tl 0.0000 0.0000 0.1941
Tl2 Tl 0.0000 0.5000 0.0000
Sb1 Sb 0.0000 0.0000 0.0000
Pb1 Pb 0.0000 0.0000 0.3991
```

Computed properties:
Energy relative to the lowest polymorph listed for this composition   243 meV/atom
Raw formation energy   285 meV/atom
N(E_F)   0.84 states/eV/atom


Record 6
Density functional theory data (PBE) for a relaxed Tl5SbPb5 crystal.

The structure in CIF format:
```
data_Tl5SbPb5
_cell_length_a 7.0403
_cell_length_b 7.1249
_cell_length_c 7.5448
_cell_angle_alpha 76.66
_cell_angle_beta 77.45
_cell_angle_gamma 89.99
_space_group_name_H-M_alt 'P -1'
_space_group_IT_number 2
loop_
_space_group_symop_operation_xyz
'x,y,z'
'-x,-y,-z'
loop_
_atom_site_label
_atom_site_type_symbol
_atom_site_fract_x
_atom_site_fract_y
_atom_site_fract_z
Tl1 Tl 0.0000 0.0000 0.0000
Tl2 Tl 0.3363 0.3263 0.6755
Tl3 Tl 0.3357 0.8369 0.6800
Sb1 Sb 0.0000 0.5000 0.0000
Pb1 Pb 0.1638 0.1716 0.3245
Pb2 Pb 0.1653 0.6662 0.3317
Pb3 Pb 0.5000 0.5000 0.0000
```

Computed properties:
Raw formation energy   43 meV/atom
N(E_F)   0.50 states/eV/atom


Record 7
Density functional theory data (PBE) for a relaxed Tl23Sb6Pb crystal.

The structure in CIF format:
```
data_Tl23Sb6Pb
_cell_length_a 9.9681
_cell_length_b 9.9681
_cell_length_c 19.4098
_cell_angle_alpha 90.00
_cell_angle_beta 90.00
_cell_angle_gamma 90.00
_space_group_name_H-M_alt 'I 4/m m m'
_space_group_IT_number 139
_space_group_name_Hall '-I 4 2'
loop_
_atom_site_label
_atom_site_type_symbol
_atom_site_fract_x
_atom_site_fract_y
_atom_site_fract_z
Tl1 Tl 0.0000 0.0000 0.0000
Tl2 Tl 0.0000 0.2513 0.3730
Tl3 Tl 0.0000 0.2542 0.1261
Tl4 Tl 0.0000 0.5000 0.0000
Tl5 Tl 0.2500 0.2500 0.2500
Sb1 Sb 0.0000 0.0000 0.2473
Sb2 Sb 0.2461 0.2461 0.5000
Pb1 Pb 0.0000 0.0000 0.5000
```

Computed properties:
Raw formation energy   24 meV/atom
N(E_F)   0.59 states/eV/atom


Record 8
Density functional theory data (PBE) for a relaxed TlSb7Pb12 crystal.

The structure in CIF format:
```
data_TlSb7Pb12
_cell_length_a 15.6364
_cell_length_b 15.6364
_cell_length_c 9.1547
_cell_angle_alpha 90.00
_cell_angle_beta 90.00
_cell_angle_gamma 120.00
_space_group_name_H-M_alt 'R -3'
_space_group_IT_number 148
_space_group_name_Hall '-R 3'
loop_
_atom_site_label
_atom_site_type_symbol
_atom_site_fract_x
_atom_site_fract_y
_atom_site_fract_z
Tl1 Tl 0.0000 0.0000 0.0000
Sb1 Sb 0.0000 0.0000 0.5000
Sb2 Sb 0.0017 0.1870 0.8108
Pb1 Pb 0.0190 0.7717 0.8540
Pb2 Pb 0.0874 0.5223 0.1553
```

Computed properties:
Raw formation energy   44 meV/atom
N(E_F)   0.47 states/eV/atom


Record 9
Density functional theory data (PBE) for a relaxed Tl8SbPb2 crystal.

The structure in CIF format:
```
data_Tl8SbPb2
_cell_length_a 5.3966
_cell_length_b 8.0775
_cell_length_c 16.3416
_cell_angle_alpha 90.00
_cell_angle_beta 90.00
_cell_angle_gamma 90.00
_space_group_name_H-M_alt 'I m m m'
_space_group_IT_number 71
_space_group_name_Hall '-I 2 2'
loop_
_atom_site_label
_atom_site_type_symbol
_atom_site_fract_x
_atom_site_fract_y
_atom_site_fract_z
Tl1 Tl 0.0000 0.0000 0.1647
Tl2 Tl 0.0000 0.2385 0.3457
Tl3 Tl 0.0000 0.2734 0.0000
Sb1 Sb 0.0000 0.5000 0.5000
Pb1 Pb 0.0000 0.5000 0.1762
```

Computed properties:
Energy relative to the lowest polymorph listed for this composition   0 meV/atom
Raw formation energy   16 meV/atom
N(E_F)   0.39 states/eV/atom


Record 10
Density functional theory data (PBE) for a relaxed Tl2SbPb4 crystal.

The structure in CIF format:
```
data_Tl2SbPb4
_cell_length_a 5.5462
_cell_length_b 5.5462
_cell_length_c 25.9826
_cell_angle_alpha 90.00
_cell_angle_beta 90.00
_cell_angle_gamma 120.00
_space_group_name_H-M_alt 'R -3 m'
_space_group_IT_number 166
_space_group_name_Hall '-R 3 2"'
loop_
_atom_site_label
_atom_site_type_symbol
_atom_site_fract_x
_atom_site_fract_y
_atom_site_fract_z
Tl1 Tl 0.0000 0.0000 0.2499
Sb1 Sb 0.0000 0.0000 0.0000
Pb1 Pb 0.0000 0.0000 0.1258
Pb2 Pb 0.0000 0.0000 0.3794
```

Computed properties:
Raw formation energy   116 meV/atom
N(E_F)   0.67 states/eV/atom


Record 11
Density functional theory data (PBE) for a relaxed Tl12SbPb3 crystal.

The structure in CIF format:
```
data_Tl12SbPb3
_cell_length_a 5.0189
_cell_length_b 5.0189
_cell_length_c 19.5523
_cell_angle_alpha 90.00
_cell_angle_beta 90.00
_cell_angle_gamma 90.00
_space_group_name_H-M_alt 'P 4/m m m'
_space_group_IT_number 123
_space_group_name_Hall '-P 4 2'
loop_
_atom_site_label
_atom_site_type_symbol
_atom_site_fract_x
_atom_site_fract_y
_atom_site_fract_z
Tl1 Tl 0.0000 0.0000 0.0000
Tl2 Tl 0.0000 0.0000 0.2495
Tl3 Tl 0.0000 0.0000 0.5000
Tl4 Tl 0.0000 0.5000 0.1214
Tl5 Tl 0.0000 0.5000 0.3754
Sb1 Sb 0.5000 0.5000 0.0000
Pb1 Pb 0.5000 0.5000 0.2516
Pb2 Pb 0.5000 0.5000 0.5000
```

Computed properties:
Raw formation energy   9 meV/atom
N(E_F)   0.55 states/eV/atom


Record 12
Density functional theory data (PBE) for a relaxed Tl5SbPb2 crystal.

The structure in CIF format:
```
data_Tl5SbPb2
_cell_length_a 7.1654
_cell_length_b 14.5521
_cell_length_c 4.7514
_cell_angle_alpha 90.00
_cell_angle_beta 90.00
_cell_angle_gamma 90.00
_space_group_name_H-M_alt 'P b a m'
_space_group_IT_number 55
loop_
_space_group_symop_operation_xyz
'x,y,z'
'-x,-y,-z'
'-x,-y,z'
'x,y,-z'
'x+1/2,-y+1/2,-z'
'-x+1/2,y+1/2,z'
'-x+1/2,y+1/2,-z'
'x+1/2,-y+1/2,z'
loop_
_atom_site_label
_atom_site_type_symbol
_atom_site_fract_x
_atom_site_fract_y
_atom_site_fract_z
Tl1 Tl 0.0000 0.0000 0.0000
Tl2 Tl 0.0120 0.2537 0.0000
Tl3 Tl 0.2403 0.8753 0.5000
Sb1 Sb 0.0000 0.5000 0.0000
Pb1 Pb 0.2302 0.6188 0.5000
```

Computed properties:
Raw formation energy   7 meV/atom
N(E_F)   0.44 states/eV/atom


Record 13
Density functional theory data (PBE) for a relaxed YTlSbPb2 crystal.

The structure in CIF format:
```
data_YTlSbPb2
_cell_length_a 5.8469
_cell_length_b 5.8469
_cell_length_c 6.1578
_cell_angle_alpha 90.00
_cell_angle_beta 90.00
_cell_angle_gamma 90.00
_space_group_name_H-M_alt 'P 4/m m m'
_space_group_IT_number 123
_space_group_name_Hall '-P 4 2'
loop_
_atom_site_label
_atom_site_type_symbol
_atom_site_fract_x
_atom_site_fract_y
_atom_site_fract_z
Y1 Y 0.0000 0.0000 0.0000
Tl1 Tl 0.0000 0.0000 0.5000
Sb1 Sb 0.5000 0.5000 0.0000
Pb1 Pb 0.0000 0.5000 0.5000
```

Computed properties:
Raw formation energy   519 meV/atom
N(E_F)   0.85 states/eV/atom


Record 14
Density functional theory data (PBE) for a relaxed Tl2ZnSb2Pb crystal.

The structure in CIF format:
```
data_Tl2ZnSb2Pb
_cell_length_a 7.0602
_cell_length_b 15.2663
_cell_length_c 6.9625
_cell_angle_alpha 90.00
_cell_angle_beta 90.00
_cell_angle_gamma 90.00
_space_group_name_H-M_alt 'I b a m'
_space_group_IT_number 72
_space_group_name_Hall '-I 2 2c'
loop_
_atom_site_label
_atom_site_type_symbol
_atom_site_fract_x
_atom_site_fract_y
_atom_site_fract_z
Tl1 Tl 0.2356 0.1737 0.0000
Zn1 Zn 0.0000 0.5000 0.2500
Sb1 Sb 0.1954 0.3879 0.0000
Pb1 Pb 0.0000 0.0000 0.2500
```

Computed properties:
Raw formation energy   4 meV/atom
N(E_F)   0.26 states/eV/atom


Record 15
Density functional theory data (PBE) for a relaxed Tm8Sb2Pb crystal.

The structure in CIF format:
```
data_Tm8Sb2Pb
_cell_length_a 18.1472
_cell_length_b 4.5745
_cell_length_c 7.6686
_cell_angle_alpha 90.00
_cell_angle_beta 90.53
_cell_angle_gamma 90.00
_space_group_name_H-M_alt 'C 1 2/m 1'
_space_group_IT_number 12
loop_
_space_group_symop_operation_xyz
'x,y,z'
'-x,-y,-z'
'-x,y,-z'
'x,-y,z'
'x+1/2,y+1/2,z'
'-x+1/2,-y+1/2,-z'
'-x+1/2,y+1/2,-z'
'x+1/2,-y+1/2,z'
loop_
_atom_site_label
_atom_site_type_symbol
_atom_site_fract_x
_atom_site_fract_y
_atom_site_fract_z
Tm1 Tm 0.0117 0.0000 0.2607
Tm2 Tm 0.0965 0.5000 0.5292
Tm3 Tm 0.1685 0.5000 0.0427
Tm4 Tm 0.2158 0.0000 0.3610
Sb1 Sb 0.1712 0.0000 0.7630
Pb1 Pb 0.0000 0.5000 0.0000
```

Computed properties:
Raw formation energy   -385 meV/atom
N(E_F)   1.25 states/eV/atom


Record 16
Density functional theory data (PBE) for a relaxed Tm2SbPb crystal.

The structure in CIF format:
```
data_Tm2SbPb
_cell_length_a 8.1070
_cell_length_b 4.1917
_cell_length_c 13.6876
_cell_angle_alpha 90.00
_cell_angle_beta 90.00
_cell_angle_gamma 90.00
_space_group_name_H-M_alt 'P n m a'
_space_group_IT_number 62
loop_
_space_group_symop_operation_xyz
'x,y,z'
'-x,-y,-z'
'-x+1/2,-y,z+1/2'
'x+1/2,y,-z+1/2'
'x+1/2,-y+1/2,-z+1/2'
'-x+1/2,y+1/2,z+1/2'
'-x,y+1/2,-z'
'x,-y+1/2,z'
loop_
_atom_site_label
_atom_site_type_symbol
_atom_site_fract_x
_atom_site_fract_y
_atom_site_fract_z
Tm1 Tm 0.1794 0.2500 0.0082
Tm2 Tm 0.1811 0.7500 0.7682
Sb1 Sb 0.0760 0.7500 0.1622
Pb1 Pb 0.0421 0.2500 0.4210
```

Computed properties:
Energy relative to the lowest polymorph listed for this composition   42 meV/atom
Raw formation energy   -645 meV/atom
N(E_F)   0.81 states/eV/atom


Record 17
Density functional theory data (PBE) for a relaxed Tm8Sb2Pb3 crystal.

The structure in CIF format:
```
data_Tm8Sb2Pb3
_cell_length_a 16.6223
_cell_length_b 6.6413
_cell_length_c 7.2439
_cell_angle_alpha 90.00
_cell_angle_beta 102.32
_cell_angle_gamma 90.00
_space_group_name_H-M_alt 'C 1 2/m 1'
_space_group_IT_number 12
loop_
_space_group_symop_operation_xyz
'x,y,z'
'-x,-y,-z'
'-x,y,-z'
'x,-y,z'
'x+1/2,y+1/2,z'
'-x+1/2,-y+1/2,-z'
'-x+1/2,y+1/2,-z'
'x+1/2,-y+1/2,z'
loop_
_atom_site_label
_atom_site_type_symbol
_atom_site_fract_x
_atom_site_fract_y
_atom_site_fract_z
Tm1 Tm 0.0450 0.0000 0.2125
Tm2 Tm 0.1463 0.2470 0.8781
Tm3 Tm 0.1626 0.5000 0.3398
Sb1 Sb 0.2236 0.0000 0.2748
Pb1 Pb 0.0000 0.2783 0.5000
Pb2 Pb 0.0000 0.5000 0.0000
```

Computed properties:
Raw formation energy   -332 meV/atom
N(E_F)   0.72 states/eV/atom


Record 18
Density functional theory data (PBE) for a relaxed Tm10Sb3Pb3 crystal.

The structure in CIF format:
```
data_Tm10Sb3Pb3
_cell_length_a 8.8970
_cell_length_b 8.8970
_cell_length_c 6.3695
_cell_angle_alpha 90.00
_cell_angle_beta 90.00
_cell_angle_gamma 120.00
_space_group_name_H-M_alt 'P -6 2 m'
_space_group_IT_number 189
_space_group_name_Hall 'P -6 -2'
loop_
_atom_site_label
_atom_site_type_symbol
_atom_site_fract_x
_atom_site_fract_y
_atom_site_fract_z
Tm1 Tm 0.0000 0.2387 0.0000
Tm2 Tm 0.0000 0.7594 0.5000
Tm3 Tm 0.3333 0.6667 0.2531
Sb1 Sb 0.0000 0.3906 0.5000
Pb1 Pb 0.0000 0.6065 0.0000
```

Computed properties:
Raw formation energy   -680 meV/atom
N(E_F)   0.61 states/eV/atom


Size of the total moment for the records above, in order: 0.00, 0.00, 0.00, 0.00, 0.00, 0.00, 0.00, 0.00, 0.00, 0.00, 0.00, 0.00, 0.00, 0.00, 0.90, 0.00, 0.00, 0.00 μB/f.u.
Calculated volume for the records above, in order: 369.29, 333.83, 2006.99, 911.31, 561.05, 358.95, 1928.62, 1938.43, 712.35, 692.16, 492.52, 495.44, 210.51, 750.45, 636.58, 465.13, 781.27, 436.64 Å³/cell